[1]
The following is a GGA-PBE calculation of a geometry-optimized AcReP structure, from the Alexandria database.

Its symmetry is Cmcm. The energy above the most stable polymorph in this dataset comes out at 458 meV per atom. The size of the total moment is 0.0000 μB per atom. For the total energy, the calculation gives -43.53 eV for the cell shown. The calculation puts the calculated formation energy at 68 meV per atom.

a = 8.363 Å, b = 8.363 Å, c = 4.642 Å
α = 90.00°, β = 90.00°, γ = 155.31°
Element x y z (fractional)
Ac: 0.091 0.909 0.750
Ac: 0.909 0.091 0.250
Re: 0.273 0.727 0.750
Re: 0.727 0.273 0.250
P: 0.416 0.584 0.750
P: 0.584 0.416 0.250


[2]
The following is a GGA-PBE calculation of a geometry-optimized AcReP3 structure, from the Alexandria database.

Its symmetry is Pm-3m. The size of the total moment is 0.0000 μB per atom. For the total energy, the calculation gives -34.22 eV for the cell shown. The calculation puts the calculated formation energy at -287 meV per atom.

a = 4.733 Å, b = 4.733 Å, c = 4.733 Å
α = 90.00°, β = 90.00°, γ = 90.00°
Element x y z (fractional)
Ac: 0.000 0.000 0.000
Re: 0.500 0.500 0.500
P: 0.000 0.500 0.500
P: 0.500 0.000 0.500
P: 0.500 0.500 0.000


[3]
The following is a GGA-PBE calculation of a geometry-optimized AcReP structure, from the Alexandria database.

Its symmetry is P-6m2. The energy above the most stable polymorph in this dataset comes out at 0 meV per atom. The size of the total moment is 0.0001 μB per atom. For the total energy, the calculation gives -23.14 eV for the cell shown. The calculation puts the calculated formation energy at -391 meV per atom.

a = 4.081 Å, b = 4.081 Å, c = 4.810 Å
α = 90.00°, β = 90.00°, γ = 120.00°
Element x y z (fractional)
Ac: 0.000 0.000 0.000
Re: 0.667 0.333 0.500
P: 0.333 0.667 0.500


[4]
The following is a GGA-PBE calculation of a geometry-optimized Ac2PRh structure, from the Alexandria database.

Its symmetry is P4/mmm. The energy above the most stable polymorph in this dataset comes out at 212 meV per atom. The size of the total moment is 0.0000 μB per atom. For the total energy, the calculation gives -24.16 eV for the cell shown. The calculation puts the calculated formation energy at -794 meV per atom.

a = 5.259 Å, b = 5.259 Å, c = 3.784 Å
α = 90.00°, β = 90.00°, γ = 90.00°
Element x y z (fractional)
Ac: 0.000 0.500 0.000
Ac: 0.500 0.000 0.000
P: 0.000 0.000 0.500
Rh: 0.500 0.500 0.500


[5]
The following is a GGA-PBE calculation of a geometry-optimized AcPRh2 structure, from the Alexandria database.

Its symmetry is Cmmm. The size of the total moment is 0.0000 μB per atom. For the total energy, the calculation gives -27.50 eV for the cell shown. The calculation puts the calculated formation energy at -820 meV per atom.

a = 4.599 Å, b = 4.599 Å, c = 4.363 Å
α = 90.00°, β = 90.00°, γ = 105.08°
Element x y z (fractional)
Ac: 0.000 0.000 0.000
P: 0.500 0.500 0.500
Rh: 0.000 0.500 0.500
Rh: 0.500 0.000 0.500


[6]
The following is a GGA-PBE calculation of a geometry-optimized AcP2Rh structure, from the Alexandria database.

Its symmetry is I-4m2. The energy above the most stable polymorph in this dataset comes out at 0 meV per atom. The size of the total moment is 0.0000 μB per atom. For the total energy, the calculation gives -26.03 eV for the cell shown. The calculation puts the calculated formation energy at -937 meV per atom.

a = 5.610 Å, b = 5.610 Å, c = 5.610 Å
α = 135.60°, β = 135.60°, γ = 64.59°
Element x y z (fractional)
Ac: 0.000 0.000 0.000
P: 0.377 0.377 0.000
P: 0.623 0.623 0.000
Rh: 0.250 0.750 0.500